Record 1
! GGA-PBE LiAg2As, optimized geometry; values from VASP
! - uncorrected energy (eV per cell) = -12.85
! - symmetry = No. 216
&SYSTEM
  ibrav = 0, nat = 4, ntyp = 3
/
ATOMIC_SPECIES
Li 6.94 Li.upf
Ag 107.87 Ag.upf
As 74.92 As.upf
CELL_PARAMETERS angstrom
0.000 3.253 3.253
3.253 0.000 3.253
3.253 3.253 0.000
ATOMIC_POSITIONS crystal
Li 0.000 0.000 0.000
Ag 0.250 0.250 0.250
Ag 0.500 0.500 0.500
As 0.750 0.750 0.750

---

Record 2
! GGA-PBE TcAgO3, optimized geometry; values from VASP
! - spin magnetization (μB per cell) = 3.6
! - uncorrected energy (eV per cell) = -64.94
! - symmetry = No. 148
&SYSTEM
  ibrav = 0, nat = 10, ntyp = 3
/
ATOMIC_SPECIES
Tc 98.00 Tc.upf
Ag 107.87 Ag.upf
O 16.00 O.upf
CELL_PARAMETERS angstrom
2.673 1.543 5.112
-2.673 1.543 5.112
0.000 -3.086 5.112
ATOMIC_POSITIONS crystal
Tc 0.161 0.161 0.161
Tc 0.839 0.839 0.839
Ag 0.368 0.368 0.368
Ag 0.632 0.632 0.632
O 0.033 0.817 0.437
O 0.183 0.563 0.967
O 0.437 0.033 0.817
O 0.563 0.967 0.183
O 0.817 0.437 0.033
O 0.967 0.183 0.563

---

Record 3
! GGA-PBE RbTbFeTe3, optimized geometry; values from VASP
! - energy above the lowest structure with this stoichiometry (meV/atom) = 5
! - spin magnetization (μB per cell) = 7.6
! - uncorrected energy (eV per cell) = -57.24
! - symmetry = No. 11
&SYSTEM
  ibrav = 0, nat = 12, ntyp = 4
/
ATOMIC_SPECIES
Rb 85.47 Rb.upf
Tb 158.93 Tb.upf
Fe 55.84 Fe.upf
Te 127.60 Te.upf
CELL_PARAMETERS angstrom
9.692 0.000 0.000
0.000 4.314 0.000
-4.185 0.000 10.375
ATOMIC_POSITIONS crystal
Rb 0.245 0.250 0.281
Rb 0.755 0.750 0.719
Tb 0.324 0.750 0.855
Tb 0.676 0.250 0.145
Fe 0.065 0.250 0.579
Fe 0.935 0.750 0.421
Te 0.085 0.250 0.822
Te 0.223 0.750 0.551
Te 0.451 0.750 0.149
Te 0.549 0.250 0.851
Te 0.777 0.250 0.449
Te 0.915 0.750 0.178

---

Record 4
! GGA-PBE PdPt, optimized geometry; values from VASP
! - spin magnetization (μB per cell) = 1.2
! - uncorrected energy (eV per cell) = -8.93
! - symmetry = No. 216
&SYSTEM
  ibrav = 0, nat = 2, ntyp = 2
/
ATOMIC_SPECIES
Pd 106.42 Pd.upf
Pt 195.08 Pt.upf
CELL_PARAMETERS angstrom
0.000 2.881 2.881
2.881 0.000 2.881
2.881 2.881 0.000
ATOMIC_POSITIONS crystal
Pd 0.000 0.000 0.000
Pt 0.750 0.750 0.750